Entry 1:
Dy2FePt (PBE, relaxed); ΔH_f (0 K) = -565 meV/atom
1.0
4.169 0.000 0.000
0.000 5.646 0.000
0.000 0.000 7.372
Fe Dy Pt
2 4 2
direct
0.000 0.121 0.962
0.000 0.879 0.462
0.000 0.625 0.825
0.500 0.872 0.175
0.000 0.375 0.325
0.500 0.128 0.675
0.500 0.370 0.038
0.500 0.630 0.538


Entry 2:
Rb3DyFe2 (PBE, relaxed); total energy = -17.6 eV/cell
1.0
-0.536 5.095 -0.857
-5.102 -0.658 -0.718
-1.396 1.318 8.706
Rb Fe Dy
3 2 1
direct
0.500 0.500 0.000
0.500 0.000 0.632
0.000 0.500 0.368
0.000 0.500 0.802
0.500 0.000 0.198
0.000 0.000 0.000


Entry 3:
Dy2FeSe4 (PBE, relaxed); total energy = -81.1 eV/cell
1.0
5.341 2.882 5.381
-2.375 5.374 5.592
-0.499 -2.206 7.790
Se Dy Fe
8 4 2
direct
0.375 0.375 0.876
0.375 0.375 0.375
0.374 0.875 0.875
0.875 0.875 0.374
0.875 0.875 0.875
0.875 0.374 0.875
0.876 0.375 0.375
0.375 0.876 0.375
0.125 0.125 0.125
0.125 0.625 0.125
0.625 0.125 0.125
0.125 0.125 0.625
0.750 0.750 0.750
0.500 0.500 0.500


Entry 4:
Dy2FeSi2 (PBE, relaxed); total energy = -63.8 eV/cell
1.0
5.253 -2.064 0.000
5.253 2.064 0.000
-4.908 0.000 8.671
Si Dy Fe
4 4 2
direct
0.999 0.999 0.373
0.156 0.156 0.064
0.844 0.844 0.936
0.001 0.001 0.627
0.689 0.689 0.608
0.502 0.502 0.172
0.311 0.311 0.392
0.498 0.498 0.828
0.772 0.772 0.124
0.228 0.228 0.876


Entry 5:
Dy2Fe3Si5 (PBE, relaxed); total energy = -272.9 eV/cell
1.0
-3.662 0.155 -9.675
-0.176 -10.344 -0.099
-5.111 0.069 1.936
Fe Si Dy
12 20 8
direct
0.000 0.500 0.250
0.377 0.355 0.000
0.877 0.145 0.500
0.355 0.623 0.000
0.500 0.000 0.750
0.623 0.645 0.000
0.123 0.855 0.500
0.855 0.877 0.500
0.645 0.377 0.000
0.500 0.000 0.250
0.000 0.500 0.750
0.145 0.123 0.500
0.500 0.500 0.768
0.180 0.478 0.000
0.323 0.177 0.250
0.478 0.820 0.000
0.820 0.522 0.000
0.978 0.680 0.500
0.677 0.823 0.750
0.022 0.320 0.500
0.500 0.500 0.232
0.680 0.022 0.500
0.823 0.323 0.750
0.677 0.823 0.250
0.323 0.177 0.750
0.000 0.000 0.268
0.823 0.323 0.250
0.000 0.000 0.732
0.177 0.677 0.250
0.320 0.978 0.500
0.522 0.180 0.000
0.177 0.677 0.750
0.236 0.931 0.000
0.431 0.736 0.500
0.569 0.264 0.500
0.764 0.069 0.000
0.069 0.236 0.000
0.931 0.764 0.000
0.736 0.569 0.500
0.264 0.431 0.500


Entry 6:
DyFeSi (PBE, relaxed); total energy = -18.6 eV/cell
1.0
0.000 3.138 3.138
3.138 0.000 3.138
3.138 3.138 0.000
Fe Si Dy
1 1 1
direct
0.750 0.750 0.750
0.000 0.000 0.000
0.250 0.250 0.250


The following total magnetic moment values (in μB per cell) correspond, in order, to the records above: 3.257 5.226 8.002 0.002 0.001 2.815.